No. 1
VASP calculation (GGA-PBE) on crystalline Pr2Zn6Ni3 at its relaxed geometry.

```
data_Pr2Zn6Ni3
_space_group_name_H-M_alt 'P -6 2 m'
_space_group_IT_number 189
_space_group_name_Hall 'P -6 -2'
_cell_length_a 7.5380
_cell_length_b 7.5380
_cell_length_c 3.9696
_cell_angle_alpha 90.00
_cell_angle_beta 90.00
_cell_angle_gamma 120.00
loop_
_atom_site_label
_atom_site_type_symbol
_atom_site_fract_x
_atom_site_fract_y
_atom_site_fract_z
Pr1 Pr 0.3333 0.6667 0.0000
Zn1 Zn 0.0000 0.1970 0.0000
Zn2 Zn 0.0000 0.7176 0.5000
Ni1 Ni 0.0000 0.3872 0.5000
```

No. 2
VASP calculation (GGA-PBE) on crystalline Pr7Zn2Ni2 at its relaxed geometry.

```
data_Pr7Zn2Ni2
_space_group_name_H-M_alt 'C m m m'
_space_group_IT_number 65
_space_group_name_Hall '-C 2 2'
_cell_length_a 7.836
_cell_length_b 11.413
_cell_length_c 7.183
_cell_angle_alpha 90.00
_cell_angle_beta 90.00
_cell_angle_gamma 90.00
loop_
_atom_site_label
_atom_site_type_symbol
_atom_site_fract_x
_atom_site_fract_y
_atom_site_fract_z
Pr1 Pr 0.000 0.000 0.000
Pr2 Pr 0.000 0.500 0.250
Pr3 Pr 0.250 0.250 0.258
Zn1 Zn 0.161 0.000 0.500
Ni1 Ni 0.000 0.300 0.000
```

No. 3
VASP calculation (GGA-PBE) on crystalline Pr2Zn4Ni3 at its relaxed geometry.

```
data_Pr2Zn4Ni3
_space_group_name_H-M_alt 'F m m m'
_space_group_IT_number 69
_space_group_name_Hall '-F 2 2'
_cell_length_a 5.229
_cell_length_b 9.101
_cell_length_c 13.184
_cell_angle_alpha 90.00
_cell_angle_beta 90.00
_cell_angle_gamma 90.00
loop_
_atom_site_label
_atom_site_type_symbol
_atom_site_fract_x
_atom_site_fract_y
_atom_site_fract_z
Pr1 Pr 0.000 0.000 0.126
Zn1 Zn 0.000 0.167 0.342
Ni1 Ni 0.000 0.000 0.500
Ni2 Ni 0.250 0.250 0.000
```

No. 4
VASP calculation (GGA-PBE) on crystalline PrZn4Ni2 at its relaxed geometry.

```
data_PrZn4Ni2
_space_group_name_H-M_alt 'I 4/m m m'
_space_group_IT_number 139
_space_group_name_Hall '-I 4 2'
_cell_length_a 6.565
_cell_length_b 6.565
_cell_length_c 5.111
_cell_angle_alpha 90.00
_cell_angle_beta 90.00
_cell_angle_gamma 90.00
loop_
_atom_site_label
_atom_site_type_symbol
_atom_site_fract_x
_atom_site_fract_y
_atom_site_fract_z
Pr1 Pr 0.000 0.000 0.000
Zn1 Zn 0.193 0.193 0.500
Ni1 Ni 0.000 0.500 0.250
```

no.,E_form (meV per atom)
1,-263
2,-81
3,-298
4,-230